# V8ZnC2 | the Alexandria database | GGA-PBE | optimized geometry
# * volume: 13.19 Å³ per atom
# * total magnetization: 0.0 μB/f.u.
# * formation energy from the elements: 316 kJ/mol of formula units
data_V8ZnC2
_space_group_name_H-M_alt 'C 1 2/m 1'
_space_group_IT_number 12
_space_group_name_Hall '-C 2y'
_cell_length_a 10.3498
_cell_length_b 6.7973
_cell_length_c 4.1249
_cell_angle_alpha 90.00
_cell_angle_beta 91.27
_cell_angle_gamma 90.00
loop_
_atom_site_label
_atom_site_type_symbol
_atom_site_fract_x
_atom_site_fract_y
_atom_site_fract_z
_atom_site_occupancy
V1 V 0.1175 0.2171 0.2833 1
V2 V 0.1232 0.0000 0.7838 1
V3 V 0.1983 0.5000 0.6996 1
Zn1 Zn 0.0000 0.5000 0.0000 1
C1 C 0.1787 0.5000 0.2023 1